Record 1
# Sm8Zn2Co GGA-PBE optimized geometry
# Uncorrected energy   -4.404 eV per atom
data_Sm8Zn2Co
_chemical_formula_sum 'Sm16 Zn4 Co2'
_cell_length_a 17.683
_cell_length_b 5.182
_cell_length_c 6.774
_cell_angle_alpha 90.00
_cell_angle_beta 101.80
_cell_angle_gamma 90.00
_space_group_name_H-M_alt 'C 1 2/m 1'
_space_group_IT_number 12
_space_group_name_Hall '-C 2y'
loop_
_atom_site_label
_atom_site_fract_x
_atom_site_fract_y
_atom_site_fract_z
_atom_site_occupancy
Sm1 0.027 0.000 0.282 1
Sm2 0.089 0.500 0.935 1
Sm3 0.153 0.500 0.459 1
Sm4 0.202 0.000 0.815 1
Zn1 0.194 0.000 0.242 1
Co1 0.000 0.500 0.500 1


Record 2
# Sm3Zn2Co2 GGA-PBE optimized geometry
# Uncorrected energy   -4.659 eV per atom
data_Sm3Zn2Co2
_chemical_formula_sum 'Sm6 Zn4 Co4'
_cell_length_a 10.898
_cell_length_b 3.824
_cell_length_c 7.877
_cell_angle_alpha 90.00
_cell_angle_beta 111.80
_cell_angle_gamma 90.00
_space_group_name_H-M_alt 'C 1 2/m 1'
_space_group_IT_number 12
_space_group_name_Hall '-C 2y'
loop_
_atom_site_label
_atom_site_fract_x
_atom_site_fract_y
_atom_site_fract_z
_atom_site_occupancy
Sm1 0.000 0.000 0.000 1
Sm2 0.193 0.000 0.668 1
Zn1 0.023 0.500 0.330 1
Co1 0.196 0.500 0.936 1


Record 3
# Sm6ZnCo2 GGA-PBE optimized geometry
# Uncorrected energy   -5.018 eV per atom
data_Sm6ZnCo2
_chemical_formula_sum 'Sm24 Zn4 Co8'
_cell_length_a 9.449
_cell_length_b 9.766
_cell_length_c 10.033
_cell_angle_alpha 90.00
_cell_angle_beta 90.00
_cell_angle_gamma 90.00
_space_group_name_H-M_alt 'I m m m'
_space_group_IT_number 71
_space_group_name_Hall '-I 2 2'
loop_
_atom_site_label
_atom_site_fract_x
_atom_site_fract_y
_atom_site_fract_z
_atom_site_occupancy
Sm1 0.000 0.195 0.237 1
Sm2 0.186 0.500 0.175 1
Sm3 0.220 0.321 0.500 1
Zn1 0.000 0.000 0.000 1
Zn2 0.000 0.000 0.500 1
Co1 0.000 0.332 0.000 1
Co2 0.000 0.500 0.387 1


Record 4
# SmZrZnCo GGA-PBE optimized geometry
# Uncorrected energy   -5.502 eV per atom
data_SmZrZnCo
_chemical_formula_sum 'Sm4 Zr4 Zn4 Co4'
_cell_length_a 6.798
_cell_length_b 6.798
_cell_length_c 6.798
_cell_angle_alpha 90.00
_cell_angle_beta 90.00
_cell_angle_gamma 90.00
_space_group_name_H-M_alt 'F -4 3 m'
_space_group_IT_number 216
_space_group_name_Hall 'F -4 2 3'
loop_
_atom_site_label
_atom_site_fract_x
_atom_site_fract_y
_atom_site_fract_z
_atom_site_occupancy
Sm1 0.000 0.000 0.000 1
Zr1 0.000 0.000 0.500 1
Zn1 0.250 0.250 0.250 1
Co1 0.250 0.250 0.750 1


Record 5
# SmZrCo2 GGA-PBE optimized geometry
# Uncorrected energy   -6.942 eV per atom
data_SmZrCo2
_chemical_formula_sum 'Sm4 Zr4 Co8'
_cell_length_a 6.618
_cell_length_b 6.618
_cell_length_c 6.618
_cell_angle_alpha 90.00
_cell_angle_beta 90.00
_cell_angle_gamma 90.00
_space_group_name_H-M_alt 'F m -3 m'
_space_group_IT_number 225
_space_group_name_Hall '-F 4 2 3'
loop_
_atom_site_label
_atom_site_fract_x
_atom_site_fract_y
_atom_site_fract_z
_atom_site_occupancy
Sm1 0.000 0.000 0.000 1
Zr1 0.000 0.000 0.500 1
Co1 0.250 0.250 0.250 1


Record 6
# SmZrCo10 GGA-PBE optimized geometry
# Uncorrected energy   -7.118 eV per atom
data_SmZrCo10
_chemical_formula_sum 'Sm1 Zr1 Co10'
_cell_length_a 3.962
_cell_length_b 4.858
_cell_length_c 8.446
_cell_angle_alpha 90.00
_cell_angle_beta 90.00
_cell_angle_gamma 90.00
_space_group_name_H-M_alt 'P m m m'
_space_group_IT_number 47
_space_group_name_Hall '-P 2 2'
loop_
_atom_site_label
_atom_site_fract_x
_atom_site_fract_y
_atom_site_fract_z
_atom_site_occupancy
Sm1 0.000 0.000 0.000 1
Zr1 0.000 0.500 0.500 1
Co1 0.000 0.000 0.344 1
Co2 0.000 0.500 0.180 1
Co3 0.500 0.000 0.500 1
Co4 0.500 0.255 0.258 1
Co5 0.500 0.500 0.000 1


Record 7
# SmZrCo4 GGA-PBE optimized geometry
# Uncorrected energy   -7.098 eV per atom
data_SmZrCo4
_chemical_formula_sum 'Sm4 Zr4 Co16'
_cell_length_a 7.090
_cell_length_b 7.090
_cell_length_c 7.090
_cell_angle_alpha 90.00
_cell_angle_beta 90.00
_cell_angle_gamma 90.00
_space_group_name_H-M_alt 'F -4 3 m'
_space_group_IT_number 216
_space_group_name_Hall 'F -4 2 3'
loop_
_atom_site_label
_atom_site_fract_x
_atom_site_fract_y
_atom_site_fract_z
_atom_site_occupancy
Sm1 0.000 0.000 0.000 1
Zr1 0.250 0.250 0.250 1
Co1 0.124 0.124 0.624 1


Record 8
# SmZr2Co9 GGA-PBE optimized geometry
# Uncorrected energy   -7.362 eV per atom
data_SmZr2Co9
_chemical_formula_sum 'Sm3 Zr6 Co27'
_cell_length_a 4.9186
_cell_length_b 4.9186
_cell_length_c 23.8622
_cell_angle_alpha 90.00
_cell_angle_beta 90.00
_cell_angle_gamma 120.00
_space_group_name_H-M_alt 'R -3 m'
_space_group_IT_number 166
_space_group_name_Hall '-R 3 2"'
loop_
_atom_site_label
_atom_site_fract_x
_atom_site_fract_y
_atom_site_fract_z
_atom_site_occupancy
Sm1 0.0000 0.0000 0.0000 1
Zr1 0.0000 0.0000 0.1399 1
Co1 0.0000 0.0000 0.3358 1
Co2 0.0000 0.0000 0.5000 1
Co3 0.0062 0.5031 0.9154 1


Record 9
# SmZr2Co GGA-PBE optimized geometry
# Uncorrected energy   -7.232 eV per atom
data_SmZr2Co
_chemical_formula_sum 'Sm1 Zr2 Co1'
_cell_length_a 3.278
_cell_length_b 3.278
_cell_length_c 8.063
_cell_angle_alpha 90.00
_cell_angle_beta 90.00
_cell_angle_gamma 90.00
_space_group_name_H-M_alt 'P 4/m m m'
_space_group_IT_number 123
_space_group_name_Hall '-P 4 2'
loop_
_atom_site_label
_atom_site_fract_x
_atom_site_fract_y
_atom_site_fract_z
_atom_site_occupancy
Sm1 0.000 0.000 0.000 1
Zr1 0.500 0.500 0.314 1
Co1 0.000 0.000 0.500 1


Record 10
# SmZr2Co GGA-PBE optimized geometry
# Uncorrected energy   -7.190 eV per atom
data_SmZr2Co
_chemical_formula_sum 'Sm3 Zr6 Co3'
_cell_length_a 4.0919
_cell_length_b 4.0919
_cell_length_c 19.5620
_cell_angle_alpha 90.00
_cell_angle_beta 90.00
_cell_angle_gamma 120.00
_space_group_name_H-M_alt 'R 3 m'
_space_group_IT_number 160
_space_group_name_Hall 'R 3 -2"'
loop_
_atom_site_label
_atom_site_fract_x
_atom_site_fract_y
_atom_site_fract_z
_atom_site_occupancy
Sm1 0.0000 0.0000 0.0000 1
Zr1 0.0000 0.0000 0.2152 1
Zr2 0.0000 0.0000 0.4447 1
Co1 0.0000 0.0000 0.8242 1


Record 11
# SmZrCo2 GGA-PBE optimized geometry
# Uncorrected energy   -7.030 eV per atom
data_SmZrCo2
_chemical_formula_sum 'Sm1 Zr1 Co2'
_cell_length_a 3.257
_cell_length_b 3.257
_cell_length_c 6.760
_cell_angle_alpha 90.00
_cell_angle_beta 90.00
_cell_angle_gamma 90.00
_space_group_name_H-M_alt 'P 4/m m m'
_space_group_IT_number 123
_space_group_name_Hall '-P 4 2'
loop_
_atom_site_label
_atom_site_fract_x
_atom_site_fract_y
_atom_site_fract_z
_atom_site_occupancy
Sm1 0.000 0.000 0.000 1
Zr1 0.000 0.000 0.500 1
Co1 0.500 0.500 0.286 1


Record 12
# Sm2ZrCo GGA-PBE optimized geometry
# Uncorrected energy   -5.858 eV per atom
data_Sm2ZrCo
_chemical_formula_sum 'Sm6 Zr3 Co3'
_cell_length_a 3.4005
_cell_length_b 3.4005
_cell_length_c 30.6252
_cell_angle_alpha 90.00
_cell_angle_beta 90.00
_cell_angle_gamma 120.00
_space_group_name_H-M_alt 'R -3 m'
_space_group_IT_number 166
_space_group_name_Hall '-R 3 2"'
loop_
_atom_site_label
_atom_site_fract_x
_atom_site_fract_y
_atom_site_fract_z
_atom_site_occupancy
Sm1 0.0000 0.0000 0.1058 1
Zr1 0.0000 0.0000 0.0000 1
Co1 0.0000 0.0000 0.5000 1


Record 13
# SmZrCo GGA-PBE optimized geometry
# Uncorrected energy   -6.812 eV per atom
data_SmZrCo
_chemical_formula_sum 'Sm2 Zr2 Co2'
_cell_length_a 3.315
_cell_length_b 3.315
_cell_length_c 11.918
_cell_angle_alpha 90.00
_cell_angle_beta 90.00
_cell_angle_gamma 90.00
_space_group_name_H-M_alt 'I 4 m m'
_space_group_IT_number 107
_space_group_name_Hall 'I 4 -2'
loop_
_atom_site_label
_atom_site_fract_x
_atom_site_fract_y
_atom_site_fract_z
_atom_site_occupancy
Sm1 0.000 0.000 0.000 1
Zr1 0.000 0.000 0.270 1
Co1 0.000 0.000 0.672 1


Record 14
# SmZr2Co GGA-PBE optimized geometry
# Uncorrected energy   -7.010 eV per atom
data_SmZr2Co
_chemical_formula_sum 'Sm3 Zr6 Co3'
_cell_length_a 3.3606
_cell_length_b 3.3606
_cell_length_c 29.6587
_cell_angle_alpha 90.00
_cell_angle_beta 90.00
_cell_angle_gamma 120.00
_space_group_name_H-M_alt 'R -3 m'
_space_group_IT_number 166
_space_group_name_Hall '-R 3 2"'
loop_
_atom_site_label
_atom_site_fract_x
_atom_site_fract_y
_atom_site_fract_z
_atom_site_occupancy
Sm1 0.0000 0.0000 0.0000 1
Zr1 0.0000 0.0000 0.1119 1
Co1 0.0000 0.0000 0.5000 1


Record 15
# CoSn GGA-PBE optimized geometry
# Uncorrected energy   -5.171 eV per atom
data_CoSn
_chemical_formula_sum 'Co8 Sn8'
_cell_length_a 7.520
_cell_length_b 7.520
_cell_length_c 7.520
_cell_angle_alpha 90.00
_cell_angle_beta 90.00
_cell_angle_gamma 90.00
_space_group_name_H-M_alt 'I -4 3 m'
_space_group_IT_number 217
_space_group_name_Hall 'I -4 2 3'
loop_
_atom_site_label
_atom_site_fract_x
_atom_site_fract_y
_atom_site_fract_z
_atom_site_occupancy
Co1 0.111 0.111 0.111 1
Sn1 0.204 0.204 0.796 1


Record 16
# CoSn GGA-PBE optimized geometry
# Uncorrected energy   -4.826 eV per atom
data_CoSn
_chemical_formula_sum 'Co4 Sn4'
_cell_length_a 5.721
_cell_length_b 5.721
_cell_length_c 5.721
_cell_angle_alpha 90.00
_cell_angle_beta 90.00
_cell_angle_gamma 90.00
_space_group_name_H-M_alt 'F -4 3 m'
_space_group_IT_number 216
_space_group_name_Hall 'F -4 2 3'
loop_
_atom_site_label
_atom_site_fract_x
_atom_site_fract_y
_atom_site_fract_z
_atom_site_occupancy
Co1 0.000 0.000 0.000 1
Sn1 0.250 0.250 0.750 1


Record 17
# CoSn GGA-PBE optimized geometry
# Uncorrected energy   -5.182 eV per atom
data_CoSn
_chemical_formula_sum 'Co6 Sn6'
_cell_length_a 9.5158
_cell_length_b 9.5158
_cell_length_c 3.7347
_cell_angle_alpha 90.00
_cell_angle_beta 90.00
_cell_angle_gamma 120.00
_space_group_name_H-M_alt 'P 63/m'
_space_group_IT_number 176
_space_group_name_Hall '-P 6c'
loop_
_atom_site_label
_atom_site_fract_x
_atom_site_fract_y
_atom_site_fract_z
_atom_site_occupancy
Co1 0.0011 0.5626 0.2500 1
Sn1 0.1687 0.7619 0.7500 1


Record 18
# CoSn GGA-PBE optimized geometry
# Uncorrected energy   -5.397 eV per atom
data_CoSn
_chemical_formula_sum 'Co2 Sn2'
_cell_length_a 2.940
_cell_length_b 3.800
_cell_length_c 6.307
_cell_angle_alpha 90.00
_cell_angle_beta 90.00
_cell_angle_gamma 90.00
_space_group_name_H-M_alt 'A m m 2'
_space_group_IT_number 38
_space_group_name_Hall 'A 2 -2'
loop_
_atom_site_label
_atom_site_fract_x
_atom_site_fract_y
_atom_site_fract_z
_atom_site_occupancy
Co1 0.000 0.000 0.000 1
Sn1 0.500 0.000 0.659 1


Record 19
# CoSn GGA-PBE optimized geometry
# Uncorrected energy   -5.205 eV per atom
data_CoSn
_chemical_formula_sum 'Co4 Sn4'
_cell_length_a 5.182
_cell_length_b 5.182
_cell_length_c 5.182
_cell_angle_alpha 90.00
_cell_angle_beta 90.00
_cell_angle_gamma 90.00
_space_group_name_H-M_alt 'F m -3 m'
_space_group_IT_number 225
_space_group_name_Hall '-F 4 2 3'
loop_
_atom_site_label
_atom_site_fract_x
_atom_site_fract_y
_atom_site_fract_z
_atom_site_occupancy
Co1 0.000 0.000 0.000 1
Sn1 0.000 0.000 0.500 1


Record 20
# Co3Sn7 GGA-PBE optimized geometry
# Uncorrected energy   -4.977 eV per atom
data_Co3Sn7
_chemical_formula_sum 'Co12 Sn28'
_cell_length_a 9.257
_cell_length_b 9.257
_cell_length_c 9.257
_cell_angle_alpha 90.00
_cell_angle_beta 90.00
_cell_angle_gamma 90.00
_space_group_name_H-M_alt 'I m -3 m'
_space_group_IT_number 229
_space_group_name_Hall '-I 4 2 3'
loop_
_atom_site_label
_atom_site_fract_x
_atom_site_fract_y
_atom_site_fract_z
_atom_site_occupancy
Co1 0.000 0.000 0.346 1
Sn1 0.000 0.250 0.500 1
Sn2 0.163 0.163 0.163 1


Calculated formation energy values (in eV per atom) by entry order: -0.09, -0.24, -0.15, -0.09, -0.07, -0.09, -0.15, -0.22, 0.00, 0.04, -0.16, 0.41, -0.02, 0.22, 0.38, 0.73, 0.37, 0.16, 0.35, -0.04.